Record 1
This record from the Alexandria database describes a relaxed NaTbEr4Se8 crystal. The functional is PBE-GGA.

The energy comes out at -5.483 eV per atom. Its crystal system is trigonal. Its size of the total moment is 0.00 μB per formula unit. Its density of states at the Fermi level is 0.000 states/eV per atom.

Unit cell a=8.3967 b=8.3967 c=20.6922 alpha=90.00 beta=90.00 gamma=120.00
Space group R3m (No. 160, hexagonal axes)
Inequivalent atoms, fractional coordinates:
Na (0.0000, 0.0000, 0.0000) (multiplicity 3)
Tb (0.0000, 0.0000, 0.3690) (multiplicity 3)
Er (0.0000, 0.0000, 0.7486) (multiplicity 3)
Er (0.0133, 0.5067, 0.8757) (multiplicity 9)
Se (0.0000, 0.0000, 0.1344) (multiplicity 3)
Se (0.0000, 0.0000, 0.6158) (multiplicity 3)
Se (0.0196, 0.5098, 0.1276) (multiplicity 9)
Se (0.1792, 0.3583, 0.9529) (multiplicity 9)

***

Record 2
This record from the Alexandria database describes a relaxed NaTb3Er2Se6 crystal. The functional is PBE-GGA.

The energy comes out at -5.498 eV per atom. Its crystal system is monoclinic. Its size of the total moment is 0.02 μB per formula unit. Its density of states at the Fermi level is 0.332 states/eV per atom.

Unit cell a=17.828 b=4.071 c=8.209 alpha=90.00 beta=103.38 gamma=90.00
Space group C2/m (No. 12)
Inequivalent atoms, fractional coordinates:
Na (0.000, 0.000, 0.000) (multiplicity 2)
Tb (0.000, 0.000, 0.500) (multiplicity 2)
Tb (0.163, 0.500, 0.824) (multiplicity 4)
Er (0.167, 0.500, 0.340) (multiplicity 4)
Se (0.003, 0.500, 0.251) (multiplicity 4)
Se (0.167, 0.000, 0.581) (multiplicity 4)
Se (0.169, 0.000, 0.087) (multiplicity 4)

***

Record 3
This record from the Alexandria database describes a relaxed NaTb4ErSe8 crystal. The functional is PBE-GGA.

The energy comes out at -5.505 eV per atom. Its crystal system is trigonal. Its size of the total moment is 0.00 μB per formula unit. Its density of states at the Fermi level is 0.000 states/eV per atom.

Unit cell a=8.4901 b=8.4901 c=20.6759 alpha=90.00 beta=90.00 gamma=120.00
Space group R3m (No. 160, hexagonal axes)
Inequivalent atoms, fractional coordinates:
Na (0.0000, 0.0000, 0.0000) (multiplicity 3)
Tb (0.0000, 0.0000, 0.2487) (multiplicity 3)
Tb (0.1732, 0.3464, 0.4558) (multiplicity 9)
Er (0.0000, 0.0000, 0.6292) (multiplicity 3)
Se (0.0000, 0.0000, 0.3821) (multiplicity 3)
Se (0.0000, 0.0000, 0.8646) (multiplicity 3)
Se (0.0279, 0.5139, 0.3764) (multiplicity 9)
Se (0.1786, 0.3572, 0.2057) (multiplicity 9)